No. 1
A PBEsol-optimized structure of MgPb8, computed with SCAN.

Values from the calculation:
formation energy	-0.07	eV per formula unit
raw total energy	-67.9219	eV/atom

```
data_MgPb8
_chemical_formula_sum 'Mg2 Pb16'
_space_group_name_H-M_alt 'I 4/m m m'
_space_group_IT_number 139
_space_group_name_Hall '-I 4 2'
_cell_length_a 10.399
_cell_length_b 10.399
_cell_length_c 4.844
_cell_angle_alpha 90.00
_cell_angle_beta 90.00
_cell_angle_gamma 90.00
loop_
_atom_site_label
_atom_site_type_symbol
_atom_site_fract_x
_atom_site_fract_y
_atom_site_fract_z
_atom_site_occupancy
Mg1 Mg 0.000 0.000 0.000 1
Pb1 Pb 0.000 0.330 0.000 1
Pb2 Pb 0.164 0.164 0.500 1
```


No. 2
A PBEsol-optimized structure of CaCrW2, computed with SCAN.

Values from the calculation:
formation energy	3.60	eV per formula unit
raw total energy	-40.9560	eV/atom
excess energy over the best structure of this formula in the dataset	0.0	meV/atom

```
data_CaCrW2
_chemical_formula_sum 'Ca2 Cr2 W4'
_space_group_name_H-M_alt 'C 1 2/m 1'
_space_group_IT_number 12
_space_group_name_Hall '-C 2y'
_cell_length_a 5.456
_cell_length_b 9.469
_cell_length_c 2.653
_cell_angle_alpha 90.00
_cell_angle_beta 107.76
_cell_angle_gamma 90.00
loop_
_atom_site_label
_atom_site_type_symbol
_atom_site_fract_x
_atom_site_fract_y
_atom_site_fract_z
_atom_site_occupancy
Ca1 Ca 0.000 0.000 0.000 1
Cr1 Cr 0.000 0.500 0.000 1
W1 W 0.250 0.250 0.500 1
```